VASP calculation (GGA-PBE) on a relaxed structure of GdZnB5O10.

total magnetization	0.00	μB per atom
crystal system	monoclinic
SG	No. 14
uncorrected energy	-7.74	eV/atom

Geometry as POSCAR:
```
GdZnB5O10
1.0
8.5459 0.0000 0.0000
0.0000 7.5844 0.0000
-7.9410 0.0000 9.3511
O B Zn Gd
40 20 4 4
Cartesian
-6.4697 6.4500 8.0885 O
-0.4961 3.5912 3.2900 O
-1.3309 0.2535 3.4917 O
-1.1667 4.6032 5.4543 O
0.5621 0.6851 7.5258 O
0.1188 6.0060 6.8383 O
0.5086 2.6545 8.6874 O
-1.6976 4.1795 8.1779 O
2.8038 6.7733 0.7788 O
-3.4845 2.2138 7.1883 O
-5.3014 3.5387 8.1672 O
-2.4065 2.8207 4.5942 O
5.0715 7.3834 1.3855 O
4.5327 3.1071 2.8503 O
3.1040 2.6578 5.9381 O
0.0427 6.8993 1.8253 O
-6.3770 0.9715 9.2697 O
-0.0399 1.7315 4.8607 O
-3.3258 5.5237 9.1660 O
3.9306 2.0607 0.1851 O
2.2729 7.1970 3.5023 O
5.9063 4.0457 1.1839 O
1.7716 2.9811 3.8968 O
4.4791 1.1376 4.0119 O
-3.9278 4.4772 6.5008 O
1.9358 7.3309 5.8594 O
-3.8742 6.4467 5.3392 O
3.0114 4.7637 4.7569 O
-2.4992 4.9266 3.4130 O
-2.1989 0.8111 8.5723 O
2.3025 3.4048 1.1732 O
7.0745 1.1344 1.2625 O
-4.4666 0.2009 7.9656 O
4.0893 5.3706 2.1628 O
6.9819 6.6129 0.0814 O
0.4861 1.5784 2.5127 O
-1.6680 0.3873 5.8488 O
0.6447 5.8528 4.4904 O
0.0963 4.9298 0.6637 O
1.1009 3.9931 6.0611 O
0.4097 2.4693 3.6856 B
4.1657 6.2615 0.9900 B
2.9424 3.0354 0.0554 B
5.1292 4.3678 2.4158 B
-2.3375 4.5489 9.2957 B
-4.4809 5.2223 5.4884 B
-0.5104 6.1543 0.8128 B
-5.6008 7.3442 8.8426 B
1.6330 6.8276 4.6201 B
-1.6303 4.0323 4.1670 B
1.1587 7.0087 7.0913 B
6.2057 0.2402 0.5085 B
-1.0281 0.7567 4.7310 B
1.1153 1.4301 8.5383 B
-4.5243 3.2165 6.9353 B
-0.5538 0.5757 2.2598 B
2.2351 3.5520 5.1841 B
-3.5608 1.3228 8.3611 B
0.1951 5.1150 5.6655 B
5.0858 2.3621 3.8627 B
5.4075 6.9093 3.4821 Zn
-4.8026 0.6751 5.8689 Zn
1.4370 4.4673 8.1577 Zn
-0.8321 3.1171 1.1934 Zn
2.8589 1.3881 2.2235 Gd
-2.2540 6.1963 7.1276 Gd
-1.1116 2.4041 6.8990 Gd
1.7165 5.1803 2.4521 Gd
```

***

VASP calculation (GGA-PBE) on a relaxed structure of NaReTe.

total magnetization	0.01	μB per atom
crystal system	cubic
SG	No. 216
energy relative to the lowest polymorph listed for this composition	0.00	eV per formula unit

Geometry as POSCAR:
```
NaReTe
1.0
-4.1436 -0.6326 -1.6350
-3.5899 0.9297 2.5478
-2.5970 3.5412 -0.9788
Re Te Na
1 1 1
Cartesian
-7.7480 2.8788 -0.0495 Re
0.0000 0.0000 0.0000 Te
-2.5827 0.9596 -0.0165 Na
```

***

VASP calculation (GGA-PBE) on a relaxed structure of ThUNi.

total magnetization	0.80	μB per atom
crystal system	cubic
energy of formation from the pure elements	0.352	eV per atom
SG	No. 216
energy relative to the lowest polymorph listed for this composition	0.00	eV per formula unit

Geometry as POSCAR:
```
ThUNi
1.0
-2.3921 -1.8131 3.5213
-4.2484 -1.6879 -0.7152
-0.7382 -4.5638 0.1886
U Ni Th
1 1 1
Cartesian
-1.8447 -2.0162 0.7487 U
0.0000 0.0000 0.0000 Ni
-5.5340 -6.0486 2.2460 Th
```

***

VASP calculation (GGA-PBE) on a relaxed structure of Lu3Ga2.

total magnetization	0.00	μB per atom
crystal system	tetragonal
SG	No. 140
uncorrected energy	-4.47	eV/atom

Geometry as POSCAR:
```
Lu3Ga2
1.0
9.8515 -0.2120 4.4554
-5.3583 -1.7554 9.2279
-1.8431 -6.9128 -8.1095
Lu Ga
24 16
Cartesian
-0.0714 -7.7420 4.5350 Lu
2.9710 -6.3724 3.7329 Lu
-1.3555 -5.5997 -2.4562 Lu
2.7857 -2.7463 4.3150 Lu
0.8553 -2.5392 9.1710 Lu
1.2200 -5.0566 6.5932 Lu
3.0146 -6.8751 0.1178 Lu
-0.1356 -6.1339 1.2588 Lu
6.5068 -6.5207 -0.9780 Lu
8.3107 -2.1857 2.5814 Lu
4.6608 -3.8499 0.1727 Lu
-0.3209 -2.5078 1.8410 Lu
5.5941 -4.2586 3.0149 Lu
4.0056 -3.2805 8.0300 Lu
-2.0108 -5.0303 5.4012 Lu
6.1142 -1.8733 5.4437 Lu
-3.4642 -7.0069 0.1301 Lu
1.7947 -6.3409 -3.5972 Lu
-3.8567 -2.3594 6.5518 Lu
-0.3645 -2.0051 5.4561 Lu
-2.9441 -4.6216 2.5589 Lu
1.4301 -3.8236 -1.0193 Lu
2.7215 -1.1382 1.0389 Lu
-5.6607 -6.6945 2.9924 Lu
5.4918 -6.9450 1.8201 Ga
3.3699 -1.4755 10.2625 Ga
4.0989 -5.4167 -2.1248 Ga
-1.4489 -3.4635 7.6986 Ga
0.4348 -4.6499 3.8107 Ga
5.2063 -1.3575 2.7172 Ga
2.2466 -0.9837 6.8417 Ga
-2.5563 -7.5227 2.8566 Ga
-4.9464 -5.1960 5.4992 Ga
-1.8149 -4.1529 -0.0011 Ga
7.5965 -3.6842 0.0746 Ga
1.1233 -0.4918 3.4208 Ga
0.0000 0.0000 0.0000 Ga
4.4649 -4.7273 5.5750 Ga
2.2153 -4.2302 1.7632 Ga
-2.8418 -1.9351 3.7537 Ga
```